1.
Density functional theory data (GGA-PBEsol) for crystalline NaSb2TeO at its relaxed geometry.

Summary:
E_form (uncorrected) in eV/atom: 0.43

Lattice parameters (Å, degrees): 5.4457 5.4457 3.9238 90.00 90.00 90.00
With the nearest neighbours (Å) after each atom.
Space group P4/mmm (No. 123)
Unique sites:
Na 0.0000 0.0000 0.0000 [1 per cell]  2 O 1.96
Sb 0.0000 0.5000 0.0000 [2 per cell]  2 Na 2.72
Te 0.5000 0.5000 0.5000 [1 per cell]  8 Sb 3.36
O 0.0000 0.0000 0.5000 [1 per cell]  2 Na 1.96



2.
Density functional theory data (GGA-PBEsol) for crystalline Zr2TaCo at its relaxed geometry.

Summary:
Formation enthalpy at 0 K in eV per atom: 0.1216
ΔE to the lowest computed polymorph in meV per atom: 211

Lattice parameters (Å, degrees): 3.2696 4.4037 4.7802 90.00 90.00 90.00
With the nearest neighbours (Å) after each atom.
Space group Pmmm (No. 47)
Unique sites:
Zr 0.0000 0.0000 0.0000 [1 per cell]  4 Co 2.74, 4 Zr 2.90
Zr 0.5000 0.0000 0.5000 [1 per cell]  4 Ta 2.74, 4 Zr 2.90
Ta 0.0000 0.5000 0.5000 [1 per cell]  4 Zr 2.74, 4 Co 2.90
Co 0.5000 0.5000 0.0000 [1 per cell]  4 Zr 2.74, 4 Ta 2.90



3.
Density functional theory data (GGA-PBEsol) for crystalline YTa2Cl at its relaxed geometry.

Summary:
E_form (uncorrected) in eV/atom: 0.08
ΔE to the lowest computed polymorph in meV per atom: 168

Lattice parameters (Å, degrees): 12.1555 3.1054 4.4772 90.00 111.53 90.00
With the nearest neighbours (Å) after each atom.
Space group C2/m (No. 12)
Unique sites:
Y 0.0000 0.0000 0.0000 [2 per cell]  4 Cl 2.72
Ta 0.2318 0.0000 0.7320 [4 per cell]  4 Ta 2.75-2.76, 2 Cl 3.05
Cl 0.0000 0.5000 0.5000 [2 per cell]  4 Y 2.72, 4 Ta 3.05



4.
Density functional theory data (GGA-PBEsol) for crystalline MgH8C2S2N2O4 at its relaxed geometry.

Summary:
DFT total energy in eV/atom: -5.7431

Lattice parameters (Å, degrees): 7.7848 8.9814 7.2966 90.00 115.25 90.00
With the nearest neighbours (Å) after each atom.
Space group P2_1/c (No. 14)
Unique sites:
Mg 0.0000 0.0000 0.0000 [2 per cell]  4 O 2.06-2.16, 2 N 2.10
H 0.1362 0.2043 0.3232 [4 per cell]  1 O 1.00
H 0.2180 0.0423 0.3971 [4 per cell]  1 O 0.99
H 0.2436 0.0565 0.8313 [4 per cell]  1 O 1.00
H 0.3231 0.1188 0.0516 [4 per cell]  1 O 1.00
C 0.2799 0.7107 0.1476 [4 per cell]  1 N 1.18
S 0.4070 0.5589 0.1938 [4 per cell]  1 C 1.63
N 0.1883 0.6796 0.6115 [4 per cell]  1 C 1.18
O 0.1212 0.0975 0.2816 [4 per cell]  2 H 0.99-1.00
O 0.2034 0.1151 0.9233 [4 per cell]  2 H 1.00



5.
Density functional theory data (GGA-PBEsol) for crystalline Cu2TcSnBi at its relaxed geometry.

Summary:
Formation enthalpy at 0 K in eV per atom: 0.9766

Lattice parameters (Å, degrees): 4.6933 4.6933 4.9932 90.00 90.00 90.00
With the nearest neighbours (Å) after each atom.
Space group P4/mmm (No. 123)
Unique sites:
Cu 0.0000 0.5000 0.0000 [2 per cell]  2 Tc 2.35
Tc 0.0000 0.0000 0.0000 [1 per cell]  4 Cu 2.35, 2 Sn 2.50
Sn 0.0000 0.0000 0.5000 [1 per cell]  2 Tc 2.50
Bi 0.5000 0.5000 0.5000 [1 per cell]  4 Sn 3.32, 8 Cu 3.43



6.
Density functional theory data (GGA-PBEsol) for crystalline Li2NiRu at its relaxed geometry.

Summary:
Formation enthalpy at 0 K in eV per atom: 0.2789
ΔE to the lowest computed polymorph in meV per atom: 187

Lattice parameters (Å, degrees): 3.4243 3.4243 4.1567 90.00 90.00 90.00
With the nearest neighbours (Å) after each atom.
Space group P4/mmm (No. 123)
Unique sites:
Li 0.0000 0.5000 0.0000 [2 per cell]  4 Li 2.42, 4 Ru 2.69, 4 Ni 2.69
Ni 0.0000 0.0000 0.5000 [1 per cell]  4 Ru 2.42, 8 Li 2.69
Ru 0.5000 0.5000 0.5000 [1 per cell]  4 Ni 2.42, 8 Li 2.69



7.
Density functional theory data (GGA-PBEsol) for crystalline CsK3Au at its relaxed geometry.

Summary:
Formation enthalpy at 0 K in eV per atom: -0.0383

Lattice parameters (Å, degrees): 6.5967 6.5967 6.5967 90.00 90.00 90.00
With the nearest neighbours (Å) after each atom.
Space group Pm-3m (No. 221)
Unique sites:
Cs 0.0000 0.0000 0.0000 [1 per cell]  12 K 4.66
K 0.0000 0.5000 0.5000 [3 per cell]  2 Au 3.30
Au 0.5000 0.5000 0.5000 [1 per cell]  6 K 3.30



8.
Density functional theory data (GGA-PBEsol) for crystalline LaHSe2 at its relaxed geometry.

Summary:
DFT total energy in eV/atom: -4.8663

Lattice parameters (Å, degrees): 6.7410 6.7410 6.9350 90.00 90.00 90.00
With the nearest neighbours (Å) after each atom.
Space group I-42d (No. 122)
Unique sites:
La 0.0000 0.0000 0.0000 [4 per cell]  8 Se 2.97-3.28
H 0.0000 0.0000 0.5000 [4 per cell]  4 Se 2.18
Se 0.1605 0.7500 0.6250 [8 per cell]  2 H 2.18